Entry 1:
Material: Cu6Ni5Pd
Method: DFT, PBE
State: relaxed

Cell: 11.5737 6.9764 3.6483 Å, 90.00 108.26 90.00°
Last column: nearest neighbours and their distance in Å.
Space group C2/m (No. 12)
Symmetry-distinct sites (fractional):
Cu: 0.0000 0.2394 0.0000  6 Ni 2.47-2.61, 2 Pd 2.58, 4 Cu 2.60-2.61
Cu: 0.1689 0.2454 0.6690  7 Ni 2.46-2.55, 4 Cu 2.55-2.61, 1 Pd 2.57
Ni: 0.0000 0.0000 0.5000  8 Cu 2.47-2.53, 4 Ni 2.60
Ni: 0.1683 0.0000 0.1682  8 Cu 2.49-2.52, 4 Ni 2.54-2.60
Ni: 0.1708 0.5000 0.1706  8 Cu 2.46-2.61, 2 Ni 2.54, 2 Pd 2.62
Pd: 0.0000 0.5000 0.5000  8 Cu 2.57-2.58, 4 Ni 2.62

Computed properties:
- magnetization (μB/cell) = 3.38
- N(E_F) (states/eV/f.u.) = 20.69
- ΔE_f (eV/atom) = 0.045
- density (g/cm³) = 9.27

Entry 2:
Material: CuNi4Pd7
Method: DFT, PBE
State: relaxed

Cell: 11.8740 4.5948 7.4164 Å, 90.00 120.20 90.00°
Last column: nearest neighbours and their distance in Å.
Space group C2/m (No. 12)
Symmetry-distinct sites (fractional):
Cu: 0.0000 0.0000 0.0000  4 Pd 2.30-2.54
Ni: 0.0380 0.5000 0.6874  4 Pd 2.45-2.58, 2 Ni 2.45-2.46
Ni: 0.1820 0.5000 0.3589  5 Pd 2.44-2.61, 1 Ni 2.46
Pd: 0.0000 0.5000 0.0000  2 Cu 2.30, 2 Ni 2.44
Pd: 0.0758 0.0000 0.4147  5 Ni 2.50-2.75, 3 Pd 2.67-2.79, 1 Cu 2.74
Pd: 0.1919 0.0000 0.8661  7 Pd 2.70-2.91, 3 Ni 2.75-2.82, 1 Cu 2.91
Pd: 0.2427 0.0000 0.2649  4 Ni 2.45-2.61, 1 Cu 2.54, 2 Pd 2.70-2.72

Computed properties:
- magnetization (μB/cell) = 9.58
- N(E_F) (states/eV/f.u.) = 19.92
- ΔE_f (eV/atom) = 0.238
- density (g/cm³) = 9.91

Entry 3:
Material: Cu10Ni2Pd
Method: DFT, PBE
State: relaxed

Cell: 4.7464 11.6465 11.7476 Å, 90.00 90.00 90.00°
Last column: nearest neighbours and their distance in Å.
Space group Fmmm (No. 69)
Symmetry-distinct sites (fractional):
Cu: 0.0000 0.1074 0.1064  2 Ni 2.39, 7 Cu 2.41-2.64
Cu: 0.0000 0.1761 0.3271  7 Cu 2.50-2.71, 2 Ni 2.51
Cu: 0.2500 0.0000 0.2500  10 Cu 2.37-2.54
Ni: 0.2500 0.2500 0.0000  2 Ni 2.37, 8 Cu 2.39-2.51
Pd: 0.0000 0.0000 0.5000  16 Cu 2.89-3.17, 4 Ni 3.14

Computed properties:
- magnetization (μB/cell) = 0.45
- N(E_F) (states/eV/f.u.) = 7.85
- ΔE_f (eV/atom) = 0.090
- density (g/cm³) = 8.79

Entry 4:
Material: Cu3NiPd2
Method: DFT, PBE
State: relaxed

Cell: 2.9268 2.9268 9.0778 Å, 90.00 90.00 90.00°
Last column: nearest neighbours and their distance in Å.
Space group P4/mmm (No. 123)
Symmetry-distinct sites (fractional):
Cu: 0.0000 0.0000 0.0000  8 Pd 2.62, 4 Cu 2.93
Cu: 0.0000 0.0000 0.3526  4 Ni 2.46, 4 Pd 2.61, 1 Cu 2.68
Ni: 0.5000 0.5000 0.5000  8 Cu 2.46
Pd: 0.5000 0.5000 0.1769  8 Cu 2.61-2.62, 4 Pd 2.93

Computed properties:
- magnetization (μB/cell) = 0.39
- distance to the lowest polymorph of the same formula (eV per atom) = 0.000
- N(E_F) (states/eV/f.u.) = 8.29
- ΔE_f (eV/atom) = -0.046
- density (g/cm³) = 9.87

Entry 5:
Material: Cu5NiPd2
Method: DFT, PBE
State: relaxed

Cell: 5.2565 10.5105 3.6860 Å, 90.00 90.00 90.00°
Last column: nearest neighbours and their distance in Å.
Space group Pbam (No. 55)
Symmetry-distinct sites (fractional):
Cu: 0.0000 0.0000 0.0000  4 Pd 2.61, 6 Cu 2.62-2.64, 2 Ni 2.63
Cu: 0.0014 0.2516 0.0000  4 Pd 2.61-2.63, 1 Ni 2.61, 7 Cu 2.61-2.64
Cu: 0.2481 0.6238 0.5000  2 Ni 2.61, 4 Pd 2.61-2.64, 6 Cu 2.61-2.63
Ni: 0.0000 0.5000 0.0000  8 Cu 2.61-2.63, 4 Pd 2.62
Pd: 0.2493 0.8752 0.5000  10 Cu 2.61-2.64, 2 Ni 2.62

Computed properties:
- magnetization (μB/cell) = 0.64
- distance to the lowest polymorph of the same formula (eV per atom) = 0.000
- N(E_F) (states/eV/f.u.) = 6.07
- ΔE_f (eV/atom) = -0.065
- density (g/cm³) = 9.61

Entry 6:
Material: Cu2Ni5Pd4
Method: DFT, PBE
State: relaxed

Cell: 4.5771 5.7896 5.9101 Å, 106.83 105.31 96.55°
Last column: nearest neighbours and their distance in Å.
Space group P-1 (No. 2)
Symmetry-distinct sites (fractional):
Cu: 0.0948 0.3224 0.3616  5 Pd 2.58-2.69, 6 Ni 2.59-2.72, 1 Cu 2.62
Ni: 0.0000 0.5000 0.0000  4 Ni 2.58-2.62, 2 Cu 2.59, 6 Pd 2.65-2.69
Ni: 0.2647 0.9503 0.0969  5 Ni 2.50-2.77, 5 Pd 2.57-2.63, 2 Cu 2.60-2.67
Ni: 0.3631 0.7769 0.4443  4 Ni 2.50-2.69, 5 Pd 2.60-2.63, 3 Cu 2.62-2.72
Pd: 0.1840 0.1280 0.7304  7 Ni 2.57-2.65, 2 Cu 2.60-2.69, 3 Pd 2.67-2.72
Pd: 0.4507 0.5998 0.8079  3 Cu 2.58-2.62, 6 Ni 2.60-2.69, 3 Pd 2.69-2.79

Computed properties:
- magnetization (μB/cell) = 3.90
- N(E_F) (states/eV/f.u.) = 15.79
- ΔE_f (eV/atom) = 0.026
- density (g/cm³) = 9.93

Entry 7:
Material: Cu15Ni2Pd2
Method: DFT, PBE
State: relaxed

Cell: 8.2211 8.2211 12.4382 Å, 90.00 90.00 120.00°
Last column: nearest neighbours and their distance in Å.
Space group R-3m (No. 166, hexagonal axes)
Symmetry-distinct sites (fractional):
Cu: 0.0000 0.3019 0.0000  8 Cu 2.43-2.61
Cu: 0.0000 0.5000 0.5000  8 Cu 2.40-2.43, 2 Ni 2.53
Cu: 0.0046 0.5023 0.1499  8 Cu 2.38-2.61, 1 Ni 2.64
Ni: 0.0000 0.0000 0.0968  1 Ni 2.41, 6 Cu 2.53-2.64
Pd: 0.0000 0.0000 0.3190  1 Ni 2.76, 12 Cu 2.88-3.04

Computed properties:
- magnetization (μB/cell) = 0.00
- N(E_F) (states/eV/f.u.) = 9.58
- ΔE_f (eV/atom) = 0.101
- density (g/cm³) = 8.78

Entry 8:
Material: Cu5NiPd5
Method: DFT, PBE
State: relaxed

Cell: 11.1358 4.5449 7.3567 Å, 90.00 118.85 90.00°
Last column: nearest neighbours and their distance in Å.
Space group C2/m (No. 12)
Symmetry-distinct sites (fractional):
Cu: 0.0000 0.0000 0.0000  6 Cu 2.46-2.59, 2 Pd 2.57
Cu: 0.0654 0.5000 0.9028  3 Cu 2.49-2.59, 5 Pd 2.55-2.69
Cu: 0.2465 0.0000 0.2482  1 Cu 2.46, 7 Pd 2.52-2.71
Ni: 0.0000 0.0000 0.5000  4 Pd 2.27-2.45
Pd: 0.0000 0.5000 0.5000  2 Ni 2.27, 2 Cu 2.52
Pd: 0.1745 0.0000 0.8662  1 Ni 2.45, 7 Cu 2.52-2.71, 1 Pd 2.72
Pd: 0.1937 0.5000 0.3642  4 Cu 2.59-2.60, 4 Pd 2.72-2.88

Computed properties:
- magnetization (μB/cell) = 2.45
- N(E_F) (states/eV/f.u.) = 9.34
- ΔE_f (eV/atom) = 0.212
- density (g/cm³) = 9.25

Entry 9:
Material: CuNi5Pd4
Method: DFT, PBE
State: relaxed

Cell: 12.7764 2.6312 8.3032 Å, 90.00 107.77 90.00°
Last column: nearest neighbours and their distance in Å.
Space group C2/m (No. 12)
Symmetry-distinct sites (fractional):
Cu: 0.0000 0.0000 0.0000  6 Pd 2.54-2.79, 4 Ni 2.62, 2 Cu 2.63
Ni: 0.0000 0.0000 0.5000  6 Pd 2.44-2.62, 2 Ni 2.63
Ni: 0.1862 0.5000 0.0791  4 Pd 2.45-2.60, 2 Cu 2.62, 4 Ni 2.63-2.72
Ni: 0.2198 0.5000 0.6175  5 Pd 2.60-2.65, 6 Ni 2.63-2.77
Pd: 0.0919 0.5000 0.3065  6 Ni 2.53-2.64, 4 Pd 2.63-2.82, 2 Cu 2.79
Pd: 0.1132 0.0000 0.7964  6 Ni 2.44-2.65, 1 Cu 2.54, 2 Pd 2.63

Computed properties:
- magnetization (μB/cell) = 9.73
- distance to the lowest polymorph of the same formula (eV per atom) = 0.000
- N(E_F) (states/eV/f.u.) = 17.14
- ΔE_f (eV/atom) = 0.140
- density (g/cm³) = 9.78

Entry 10:
Material: Cu3NiPd4
Method: DFT, PBE
State: relaxed

Cell: 8.4918 6.0591 4.2453 Å, 90.00 90.00 90.00°
Last column: nearest neighbours and their distance in Å.
Space group Pmma (No. 51)
Symmetry-distinct sites (fractional):
Cu: 0.0000 0.0000 0.0000  8 Pd 2.61
Cu: 0.2500 0.0000 0.4977  8 Pd 2.61-2.62
Cu: 0.2500 0.5000 0.4977  8 Pd 2.60
Ni: 0.0000 0.5000 0.0000  8 Pd 2.60
Pd: 0.0000 0.2519 0.5000  2 Ni 2.60, 6 Cu 2.60-2.61
Pd: 0.2500 0.2518 0.9980  6 Cu 2.60-2.62, 2 Ni 2.60

Computed properties:
- magnetization (μB/cell) = 3.04
- distance to the lowest polymorph of the same formula (eV per atom) = 0.000
- N(E_F) (states/eV/f.u.) = 6.24
- ΔE_f (eV/atom) = -0.066
- density (g/cm³) = 10.26

Entry 11:
Material: Cu2Ni2Pd7
Method: DFT, PBE
State: relaxed

Cell: 4.1512 11.1472 6.8617 Å, 90.00 90.00 90.00°
Last column: nearest neighbours and their distance in Å.
Space group Imm2 (No. 44)
Symmetry-distinct sites (fractional):
Cu: 0.0000 0.2049 0.0000  9 Pd 2.52-2.71, 1 Ni 2.67
Ni: 0.0000 0.0000 0.7992  7 Pd 2.54-2.60, 2 Cu 2.67
Ni: 0.0000 0.5000 0.9921  8 Pd 2.58-2.59
Pd: 0.0000 0.0000 0.1693  1 Ni 2.54, 2 Cu 2.56, 6 Pd 2.71-2.74
Pd: 0.0000 0.1386 0.4998  3 Ni 2.57-2.59, 2 Cu 2.71, 5 Pd 2.73-2.87
Pd: 0.0000 0.3457 0.7124  3 Cu 2.52-2.60, 1 Ni 2.58, 3 Pd 2.71-2.73
Pd: 0.0000 0.3590 0.2926  3 Ni 2.59-2.60, 3 Cu 2.62-2.64, 4 Pd 2.84-2.89

Computed properties:
- magnetization (μB/cell) = 6.94
- distance to the lowest polymorph of the same formula (eV per atom) = 0.025
- N(E_F) (states/eV/f.u.) = 14.24
- ΔE_f (eV/atom) = 0.055
- density (g/cm³) = 10.35

Entry 12:
Material: Cu2Ni2Pd7
Method: DFT, PBE
State: relaxed

Cell: 6.6315 7.4011 6.5662 Å, 90.00 102.55 90.00°
Last column: nearest neighbours and their distance in Å.
Space group C2/m (No. 12)
Symmetry-distinct sites (fractional):
Cu: 0.0000 0.1813 0.0000  8 Pd 2.58-2.74, 2 Ni 2.63, 1 Cu 2.68
Ni: 0.1012 0.0000 0.3520  8 Pd 2.53-2.63, 1 Ni 2.59, 2 Cu 2.63
Pd: 0.0000 0.5000 0.5000  2 Ni 2.61, 10 Pd 2.71-2.87
Pd: 0.1597 0.5000 0.9160  4 Cu 2.58-2.69, 6 Pd 2.59-2.88, 1 Ni 2.61
Pd: 0.2225 0.1907 0.6938  3 Ni 2.53-2.63, 2 Cu 2.59-2.74, 4 Pd 2.79-2.83

Computed properties:
- magnetization (μB/cell) = 5.71
- distance to the lowest polymorph of the same formula (eV per atom) = 0.000
- N(E_F) (states/eV/f.u.) = 16.92
- ΔE_f (eV/atom) = 0.030
- density (g/cm³) = 10.45

Entry 13:
Material: Cu5NiPd6
Method: DFT, PBE
State: relaxed

Cell: 4.2795 5.9746 6.7611 Å, 90.00 108.21 90.00°
Last column: nearest neighbours and their distance in Å.
Space group P2/m (No. 10)
Symmetry-distinct sites (fractional):
Cu: 0.0000 0.0000 0.0000  8 Pd 2.60-2.62
Cu: 0.3329 0.0000 0.6645  8 Pd 2.61-2.63
Cu: 0.3332 0.5000 0.6650  8 Pd 2.61
Ni: 0.0000 0.5000 0.0000  8 Pd 2.59-2.60
Pd: 0.1647 0.2511 0.3306  1 Ni 2.59, 7 Cu 2.60-2.62
Pd: 0.5000 0.2520 0.0000  2 Ni 2.60, 6 Cu 2.61-2.63

Computed properties:
- magnetization (μB/cell) = 1.76
- distance to the lowest polymorph of the same formula (eV per atom) = 0.000
- N(E_F) (states/eV/f.u.) = 10.20
- ΔE_f (eV/atom) = -0.081
- density (g/cm³) = 10.26

Entry 14:
Material: Cu2NiPd
Method: DFT, PBE
State: relaxed

Cell: 6.6359 6.6359 5.0101 Å, 90.00 90.00 90.00°
Last column: nearest neighbours and their distance in Å.
Space group I-42d (No. 122)
Symmetry-distinct sites (fractional):
Cu: 0.2312 0.7500 0.1250  2 Ni 2.34, 2 Pd 2.52, 2 Cu 2.52
Ni: 0.0000 0.0000 0.0000  4 Cu 2.34, 2 Pd 2.51
Pd: 0.0000 0.0000 0.5000  2 Ni 2.51, 4 Cu 2.52

Computed properties:
- magnetization (μB/cell) = 0.01
- N(E_F) (states/eV/f.u.) = 3.48
- ΔE_f (eV/atom) = 0.351
- density (g/cm³) = 8.80

Entry 15:
Material: Cu2NiPd4
Method: DFT, PBE
State: relaxed

Cell: 7.4511 7.4511 7.4370 Å, 90.00 90.00 90.00°
Last column: nearest neighbours and their distance in Å.
Space group I-42d (No. 122)
Symmetry-distinct sites (fractional):
Cu: 0.1235 0.7500 0.1250  8 Pd 2.55-2.61
Ni: 0.0000 0.0000 0.5000  8 Pd 2.54-2.59
Pd: 0.0792 0.6706 0.4571  2 Ni 2.54-2.59, 4 Cu 2.55-2.61, 3 Pd 2.76-2.82

Computed properties:
- magnetization (μB/cell) = 6.82
- distance to the lowest polymorph of the same formula (eV per atom) = 0.041
- N(E_F) (states/eV/f.u.) = 9.65
- ΔE_f (eV/atom) = 0.156
- density (g/cm³) = 9.84

Entry 16:
Material: Cu4NiPd7
Method: DFT, PBE
State: relaxed

Cell: 11.3753 4.5231 8.9530 Å, 90.00 125.75 90.00°
Last column: nearest neighbours and their distance in Å.
Space group C2/m (No. 12)
Symmetry-distinct sites (fractional):
Cu: 0.0639 0.0000 0.2772  8 Pd 2.46-2.66, 1 Cu 2.60
Cu: 0.2049 0.0000 0.8369  8 Pd 2.51-2.69, 1 Cu 2.60
Ni: 0.0000 0.5000 0.5000  2 Pd 2.26
Pd: 0.0000 0.0000 0.5000  2 Ni 2.26, 4 Cu 2.49-2.51
Pd: 0.0743 0.5000 0.8310  5 Cu 2.53-2.69, 1 Ni 2.56, 2 Pd 2.68-2.76
Pd: 0.1489 0.0000 0.0799  5 Cu 2.46-2.65
Pd: 0.2157 0.5000 0.3820  4 Cu 2.58-2.66, 4 Pd 2.68-2.87

Computed properties:
- magnetization (μB/cell) = 2.90
- distance to the lowest polymorph of the same formula (eV per atom) = 0.301
- N(E_F) (states/eV/f.u.) = 16.72
- ΔE_f (eV/atom) = 0.256
- density (g/cm³) = 9.40

Entry 17:
Material: CuNiPd14
Method: DFT, PBE
State: relaxed

Cell: 9.0873 5.5526 9.5547 Å, 90.00 90.00 90.00°
Last column: nearest neighbours and their distance in Å.
Space group Amm2 (No. 38)
Symmetry-distinct sites (fractional):
Cu: 0.0000 0.0000 0.0000  10 Pd 2.70-2.78, 2 Ni 2.78
Ni: 0.0000 0.0000 0.4999  10 Pd 2.70-2.78, 2 Cu 2.78
Pd: 0.0000 0.2501 0.2526  8 Pd 2.74-2.78, 2 Ni 2.74-2.78, 2 Cu 2.74-2.78
Pd: 0.2406 0.2494 0.5802  1 Ni 2.70, 1 Cu 2.70, 10 Pd 2.74-2.85
Pd: 0.2468 0.0000 0.3329  11 Pd 2.74-2.81, 1 Ni 2.75
Pd: 0.2474 0.0000 0.8329  11 Pd 2.74-2.81, 1 Cu 2.76
Pd: 0.5000 0.0000 0.1636  12 Pd 2.75-2.85
Pd: 0.5000 0.0000 0.6636  12 Pd 2.75-2.85
Pd: 0.5000 0.2501 0.4146  12 Pd 2.75-2.84

Computed properties:
- magnetization (μB/cell) = 7.66
- N(E_F) (states/eV/f.u.) = 32.24
- ΔE_f (eV/atom) = 0.015
- density (g/cm³) = 11.11

Entry 18:
Material: Cu6NiPd12
Method: DFT, PBE
State: relaxed

Cell: 9.0976 9.0976 11.5113 Å, 90.00 90.00 120.00°
Last column: nearest neighbours and their distance in Å.
Space group R-3 (No. 148, hexagonal axes)
Symmetry-distinct sites (fractional):
Cu: 0.0315 0.5919 0.2024  1 Ni 2.51, 6 Pd 2.60-2.67, 2 Cu 2.61
Ni: 0.0000 0.0000 0.5000  6 Cu 2.51, 6 Pd 2.62
Pd: 0.0288 0.8432 0.3177  1 Ni 2.62, 5 Pd 2.63-2.86, 5 Cu 2.63-2.87
Pd: 0.0604 0.2123 0.9101  4 Cu 2.60-2.83, 5 Pd 2.69-2.86

Computed properties:
- magnetization (μB/cell) = 4.21
- distance to the lowest polymorph of the same formula (eV per atom) = 0.053
- N(E_F) (states/eV/f.u.) = 26.10
- ΔE_f (eV/atom) = 0.001
- density (g/cm³) = 10.37

Entry 19:
Material: CuNi3Pd
Method: DFT, PBE
State: relaxed

Cell: 4.2530 4.2530 4.2530 Å, 90.00 90.00 90.00°
Last column: nearest neighbours and their distance in Å.
Space group Pm-3m (No. 221)
Symmetry-distinct sites (fractional):
Cu: 0.0000 0.0000 0.0000  6 Ni 2.13
Ni: 0.0000 0.0000 0.5000  2 Cu 2.13
Pd: 0.5000 0.5000 0.5000  12 Ni 3.01

Computed properties:
- magnetization (μB/cell) = 1.89
- distance to the lowest polymorph of the same formula (eV per atom) = 1.023
- N(E_F) (states/eV/f.u.) = 9.17
- ΔE_f (eV/atom) = 1.046
- density (g/cm³) = 7.47

Entry 20:
Material: CuNi2Pd
Method: DFT, PBE
State: relaxed

Cell: 4.6729 19.6829 2.5746 Å, 90.00 106.12 90.00°
Last column: nearest neighbours and their distance in Å.
Space group C2/c (No. 15)
Symmetry-distinct sites (fractional):
Cu: 0.2500 0.2500 0.0000  4 Cu 2.33-2.57, 2 Pd 2.51
Ni: 0.2288 0.0515 0.1185  7 Ni 2.40-2.57, 2 Pd 2.57-2.59
Pd: 0.0000 0.3532 0.2500  2 Cu 2.51, 4 Ni 2.57-2.59, 2 Pd 2.57

Computed properties:
- magnetization (μB/cell) = 0.00
- distance to the lowest polymorph of the same formula (eV per atom) = 0.293
- N(E_F) (states/eV/f.u.) = 8.70
- ΔE_f (eV/atom) = 0.320
- density (g/cm³) = 8.39